1.
Crystalline Rb2GeSeI6 at its relaxed geometry, computed with PBE.

Properties
Energy relative to the elements, uncorrected in eV per atom: -0.610

Structure (POSCAR):
```
Rb2GeSeI6
1.0
-4.132 4.132 6.078
4.132 -4.132 6.078
4.132 4.132 -6.078
Rb Ge Se I
2 1 1 6
direct
0.250 0.750 0.500 Rb
0.750 0.250 0.500 Rb
0.000 0.000 0.000 Ge
0.500 0.500 0.000 Se
0.240 0.240 0.000 I
0.249 0.249 0.498 I
0.249 0.751 0.000 I
0.751 0.249 0.000 I
0.751 0.751 0.502 I
0.760 0.760 0.000 I
```

2.
Crystalline La2Pm3Sm5 at its relaxed geometry, computed with PBE.

Properties
ΔE_f in meV per atom: 170.9

Structure (POSCAR):
```
La2Pm3Sm5
1.0
5.477 -8.574 0.000
5.477 8.574 0.000
-5.476 0.000 7.426
La Pm Sm
4 6 10
direct
0.024 0.274 0.048 La
0.274 0.024 0.548 La
0.726 0.976 0.452 La
0.976 0.726 0.952 La
0.026 0.974 0.750 Pm
0.233 0.484 0.466 Pm
0.484 0.233 0.966 Pm
0.516 0.767 0.034 Pm
0.767 0.516 0.534 Pm
0.974 0.026 0.250 Pm
0.124 0.377 0.750 Sm
0.221 0.779 0.750 Sm
0.277 0.723 0.250 Sm
0.377 0.124 0.250 Sm
0.471 0.529 0.250 Sm
0.529 0.471 0.750 Sm
0.623 0.876 0.750 Sm
0.723 0.277 0.750 Sm
0.779 0.221 0.250 Sm
0.876 0.623 0.250 Sm
```

3.
Crystalline SrCr2Ag at its relaxed geometry, computed with PBE.

Properties
ΔE_f in meV per atom: 890.1

Structure (POSCAR):
```
SrCr2Ag
1.0
3.090 -5.193 0.000
3.090 5.193 0.000
-1.490 0.000 2.875
Sr Cr Ag
1 2 1
direct
0.000 0.000 0.000 Sr
0.000 0.500 0.500 Cr
0.500 0.000 0.500 Cr
0.500 0.500 0.000 Ag
```